# NiB2Rh6 PBE relaxed
data_NiB2Rh6
_chemical_formula_sum 'Ni2 B4 Rh12'
_cell_length_a 12.6549
_cell_length_b 2.7590
_cell_length_c 8.6378
_cell_angle_alpha 90.00
_cell_angle_beta 132.98
_cell_angle_gamma 90.00
_symmetry_space_group_name_H-M 'C 1 2/m 1'
_symmetry_Int_Tables_number 12
loop_
_symmetry_equiv_pos_as_xyz
'x,y,z'
'-x,-y,-z'
'-x,y,-z'
'x,-y,z'
'x+1/2,y+1/2,z'
'-x+1/2,-y+1/2,-z'
'-x+1/2,y+1/2,-z'
'x+1/2,-y+1/2,z'
loop_
_atom_site_label
_atom_site_fract_x
_atom_site_fract_y
_atom_site_fract_z
_atom_site_occupancy
Ni1 0.0000 0.0000 0.0000 1
B1 0.0814 0.5000 0.8936 1
Rh1 0.0241 0.0000 0.3721 1
Rh2 0.1849 0.5000 0.3257 1
Rh3 0.2422 0.5000 0.8535 1
# E (eV per atom): -7.10
# Fermi-level density of states (states/eV per cell): 19.07